Version P
BiPPtO2: relaxed, PBE.

Cell: 4.083 4.083 4.783 Å, 90.00 90.00 90.00°
Space group P4/mmm (No. 123)
Symmetry-distinct sites (fractional):
Bi1 0.000 0.000 0.000
P1 0.500 0.500 0.000
Pt1 0.500 0.500 0.500
O1 0.000 0.500 0.500


Version Q
BiPPtO2: relaxed, PBE.

Cell: 4.032 4.032 5.749 Å, 90.00 90.00 90.00°
Space group P4/mmm (No. 123)
Symmetry-distinct sites (fractional):
Bi1 0.000 0.000 0.000
P1 0.000 0.000 0.500
Pt1 0.500 0.500 0.500
O1 0.000 0.500 0.000


Quick one: least stable of them? version Q


Version P
RbBiPO2: relaxed, PBE.

Cell: 4.506 4.506 5.394 Å, 90.00 90.00 90.00°
Space group P4/mmm (No. 123)
Symmetry-distinct sites (fractional):
Rb1 0.000 0.000 0.000
Bi1 0.500 0.500 0.500
P1 0.500 0.500 0.000
O1 0.000 0.500 0.500


Version Q
RbBiPO2: relaxed, PBE.

Cell: 4.316 4.316 5.826 Å, 90.00 90.00 90.00°
Space group P4/mmm (No. 123)
Symmetry-distinct sites (fractional):
Rb1 0.000 0.000 0.000
Bi1 0.500 0.500 0.500
P1 0.000 0.000 0.500
O1 0.000 0.500 0.000


Quick one: least stable of them? version Q


Version P
ReBiPO2: relaxed, PBE.

Cell: 3.903 3.903 5.253 Å, 90.00 90.00 90.00°
Space group P4/mmm (No. 123)
Symmetry-distinct sites (fractional):
Re1 0.000 0.000 0.000
Bi1 0.500 0.500 0.500
P1 0.000 0.000 0.500
O1 0.000 0.500 0.000


Version Q
ReBiPO2: relaxed, PBE.

Cell: 4.094 4.094 5.642 Å, 90.00 90.00 90.00°
Space group P4/mmm (No. 123)
Symmetry-distinct sites (fractional):
Re1 0.000 0.000 0.000
Bi1 0.500 0.500 0.500
P1 0.500 0.500 0.000
O1 0.000 0.500 0.500


Quick one: least stable of them? version Q


Version P
BiSbPO2: relaxed, PBE.

Cell: 4.129 4.129 5.217 Å, 90.00 90.00 90.00°
Space group P4/mmm (No. 123)
Symmetry-distinct sites (fractional):
Bi1 0.000 0.000 0.000
Sb1 0.500 0.500 0.500
P1 0.500 0.500 0.000
O1 0.000 0.500 0.500


Version Q
BiSbPO2: relaxed, PBE.

Cell: 4.252 4.252 5.433 Å, 90.00 90.00 90.00°
Space group P4/mmm (No. 123)
Symmetry-distinct sites (fractional):
Bi1 0.000 0.000 0.000
Sb1 0.500 0.500 0.500
P1 0.000 0.000 0.500
O1 0.000 0.500 0.000


Quick one: least stable of them? version Q